A plane-wave DFT calculation with GGA-PBE was carried out for a relaxed CuTcOs crystal.

Results
The value obtained for the volume is 14.23 A^3/atom. The calculation puts the formation energy at 121 kJ/mol of formula units. The calculation puts the spin magnetization at 0.00 μB/atom.

a b c (Å): 7.120 6.905 2.646
angles (deg): 83.75 74.57 21.68
Fractional coordinates of all 3 atoms:
Cu: 0.000 0.000 0.000
Os: 0.332 0.332 0.668
Tc: 0.668 0.668 0.332